(1)
## LiCaGa (PBE)

Data for LiCaGa after structural relaxation.

Values from the calculation:
E_form, eV/atom: -0.272
Energy above the most stable polymorph in this dataset, meV per atom: 43
DFT total energy, eV/atom: -2.5858
Magnetic moment, Bohr magnetons per cell: 0.00

Lattice parameters (Å, degrees): 4.7986 4.7986 3.5076 90.00 90.00 120.00
Space group P-6m2 (No. 187)
Asymmetric unit:
Li  0.0000  0.0000  0.0000 x1
Ca  0.3333  0.6667  0.5000 x1
Ga  0.6667  0.3333  0.0000 x1

(2)
## NdGdTl (PBE)

Data for NdGdTl after structural relaxation.

Values from the calculation:
E_form, eV/atom: -0.242
Energy above the most stable polymorph in this dataset, meV per atom: 0
DFT total energy, eV/atom: -7.3141
Magnetic moment, Bohr magnetons per cell: 16.20

Lattice parameters (Å, degrees): 3.809 3.809 12.859 90.00 90.00 90.00
Space group I4mm (No. 107)
Asymmetric unit:
Nd  0.000  0.000  0.000 x2
Gd  0.000  0.000  0.689 x2
Tl  0.000  0.000  0.340 x2

(3)
## SnSb3Br (PBE)

Data for SnSb3Br after structural relaxation.

Values from the calculation:
Formation energy (no corrections), meV per atom: 705
Energy above the most stable polymorph in this dataset, meV per atom: 0
DFT total energy, eV/atom: -2.9040
Magnetic moment, Bohr magnetons per cell: 0.00

Lattice parameters (Å, degrees): 5.695 5.695 5.695 90.00 90.00 90.00
Space group Pm-3m (No. 221)
Asymmetric unit:
Sn  0.000  0.000  0.000 x1
Sb  0.000  0.000  0.500 x3
Br  0.500  0.500  0.500 x1

(4)
## ZrS3I (PBE)

Data for ZrS3I after structural relaxation.

Values from the calculation:
Formation energy (no corrections), meV per atom: -292
Energy above the most stable polymorph in this dataset, meV per atom: 0
DFT total energy, eV/atom: -4.7879
Magnetic moment, Bohr magnetons per cell: 0.00

Lattice parameters (Å, degrees): 5.030 5.030 5.030 90.00 90.00 90.00
Space group Pm-3m (No. 221)
Asymmetric unit:
Zr  0.000  0.000  0.000 x1
S  0.000  0.000  0.500 x3
I  0.500  0.500  0.500 x1

(5)
## SiAu2Cl (PBE)

Data for SiAu2Cl after structural relaxation.

Values from the calculation:
Formation energy (no corrections), meV per atom: 377
Energy above the most stable polymorph in this dataset, meV per atom: 455
DFT total energy, eV/atom: -3.0788
Magnetic moment, Bohr magnetons per cell: 0.00

Lattice parameters (Å, degrees): 3.737 3.737 11.623 90.00 90.00 90.00
Space group I-4m2 (No. 119)
Asymmetric unit:
Si  0.000  0.000  0.000 x2
Au  0.000  0.000  0.500 x2
Au  0.000  0.500  0.750 x2
Cl  0.000  0.500  0.250 x2

(6)
## Pd2Pb2Au (PBE)

Data for Pd2Pb2Au after structural relaxation.

Values from the calculation:
E_form, eV/atom: -0.161
Energy above the most stable polymorph in this dataset, meV per atom: 4
DFT total energy, eV/atom: -4.3767
Magnetic moment, Bohr magnetons per cell: 0.00

Lattice parameters (Å, degrees): 5.817 4.701 8.342 90.00 106.44 90.00
Space group P2_1/m (No. 11)
Asymmetric unit:
Pd  0.122  0.250  0.449 x2
Pd  0.230  0.250  0.128 x2
Pb  0.280  0.750  0.951 x2
Pb  0.379  0.750  0.587 x2
Au  0.012  0.750  0.237 x2

(7)
## TaAl3Os (PBE)

Data for TaAl3Os after structural relaxation.

Values from the calculation:
E_form, eV/atom: 0.717
Energy above the most stable polymorph in this dataset, meV per atom: 0
DFT total energy, eV/atom: -6.1451
Magnetic moment, Bohr magnetons per cell: 1.88

Lattice parameters (Å, degrees): 4.630 4.630 4.630 90.00 90.00 90.00
Space group Pm-3m (No. 221)
Asymmetric unit:
Ta  0.000  0.000  0.000 x1
Al  0.000  0.500  0.500 x3
Os  0.500  0.500  0.500 x1

(8)
## BeBiN2O (PBE)

Data for BeBiN2O after structural relaxation.

Values from the calculation:
Formation energy (no corrections), meV per atom: 423
DFT total energy, eV/atom: -5.4204
Magnetic moment, Bohr magnetons per cell: 0.59

Lattice parameters (Å, degrees): 3.420 3.420 4.642 90.00 90.00 90.00
Space group P4/mmm (No. 123)
Asymmetric unit:
Be  0.000  0.000  0.000 x1
Bi  0.500  0.500  0.500 x1
N  0.000  0.500  0.000 x2
O  0.000  0.000  0.500 x1

(9)
## Li2NdInSn2 (PBE)

Data for Li2NdInSn2 after structural relaxation.

Values from the calculation:
E_form, eV/atom: -0.440
DFT total energy, eV/atom: -3.6631
Magnetic moment, Bohr magnetons per cell: 0.00

Lattice parameters (Å, degrees): 4.519 8.660 7.718 90.00 90.00 90.00
Space group Pmc2_1 (No. 26)
Asymmetric unit:
Li  0.000  0.077  0.000 x2
Li  0.500  0.187  0.333 x2
Nd  0.500  0.427  0.932 x2
In  0.000  0.302  0.603 x2
Sn  0.000  0.363  0.220 x2
Sn  0.500  0.112  0.710 x2

(10)
## LiPmCuAu (PBE)

Data for LiPmCuAu after structural relaxation.

Values from the calculation:
E_form, eV/atom: -0.360
DFT total energy, eV/atom: -3.8692
Magnetic moment, Bohr magnetons per cell: 0.00

Lattice parameters (Å, degrees): 6.897 6.897 6.897 90.00 90.00 90.00
Space group F-43m (No. 216)
Asymmetric unit:
Li  0.000  0.000  0.000 x4
Pm  0.000  0.000  0.500 x4
Cu  0.250  0.250  0.750 x4
Au  0.250  0.250  0.250 x4

(11)
## PuCuSi (PBE)

Data for PuCuSi after structural relaxation.

Values from the calculation:
Formation energy (no corrections), meV per atom: -304
DFT total energy, eV/atom: -8.2541
Magnetic moment, Bohr magnetons per cell: 23.42

Lattice parameters (Å, degrees): 3.904 3.904 14.275 90.00 90.00 90.00
Space group I4/mmm (No. 139)
Asymmetric unit:
Pu  0.000  0.000  0.179 x4
Cu  0.000  0.500  0.000 x4
Si  0.000  0.000  0.398 x4

(12)
## BaNd2O4 (PBE)

Data for BaNd2O4 after structural relaxation.

Values from the calculation:
Formation energy (no corrections), meV per atom: -3114
DFT total energy, eV/atom: -7.5840
Magnetic moment, Bohr magnetons per cell: 0.00

Lattice parameters (Å, degrees): 10.738 3.635 12.597 90.00 90.00 90.00
Space group Pnma (No. 62)
Asymmetric unit:
Ba  0.248  0.250  0.147 x4
Nd  0.076  0.250  0.888 x4
Nd  0.079  0.250  0.389 x4
O  0.015  0.750  0.783 x4
O  0.071  0.250  0.576 x4
O  0.122  0.750  0.019 x4
O  0.211  0.750  0.331 x4